Ga3NiOs: relaxed, GGA-PBE.

```
Ga3NiOs
1.0
4.385 0.000 0.000
0.000 4.385 0.000
0.000 0.000 4.385
Ga Os Ni
3 1 1
Direct
0.500 0.000 0.000 Ga
0.000 0.500 0.000 Ga
0.000 0.000 0.500 Ga
0.500 0.500 0.500 Os
0.000 0.000 0.000 Ni
```

Symmetry = Pm-3m, No. 221
Offset from the most stable computed form = 146 meV per atom
Crystal system = cubic
ΔH_f (0 K) = 0.7130 eV per atom
Electronic total energy = -4.51 eV per atom